--- w ---
# MgH4Ir

A geometry-optimized MgH4Ir structure (PBE-GGA, Alexandria via LeMat-Bulk).

Properties
* crystal system: triclinic

Structure (POSCAR):
```
MgH4Ir
1.0
2.939 0.000 0.000
-0.015 4.523 0.000
-1.450 -2.103 4.096
Mg H Ir
1 4 1
Cartesian
0.000 0.000 0.000
0.004 1.087 2.205
0.003 -0.979 2.785
1.455 3.740 0.995
1.473 0.385 4.080
1.472 0.034 2.474
```

---

--- x ---
# MgH4Ir

A geometry-optimized MgH4Ir structure (PBE-GGA, Alexandria via LeMat-Bulk).

Properties
* crystal system: triclinic

Structure (POSCAR):
```
MgH4Ir
1.0
3.610 0.000 0.000
0.197 3.621 0.000
1.663 1.580 4.210
Mg H Ir
1 4 1
Cartesian
0.000 0.000 0.000
2.244 3.342 3.771
1.978 1.483 2.004
2.023 3.123 0.449
3.885 3.300 2.221
2.077 3.296 2.110
```

---

--- y ---
# MgH4Ir

A geometry-optimized MgH4Ir structure (PBE-GGA, Alexandria via LeMat-Bulk).

Properties
* crystal system: orthorhombic

Structure (POSCAR):
```
MgH4Ir
1.0
8.434 0.000 0.000
0.000 2.691 2.370
0.000 -2.691 2.370
Mg H Ir
2 8 2
Cartesian
0.000 0.000 0.000
4.217 0.000 0.000
0.446 0.911 1.769
2.108 -0.404 0.629
2.108 -0.305 2.877
3.771 0.911 1.769
4.663 -0.911 1.769
6.325 0.404 0.629
6.325 0.305 2.877
7.987 -0.911 1.769
2.108 1.053 1.686
6.325 -1.053 1.686
```

---

Most stable: x. Least stable: w.

---

--- w ---
# MgH4Ir

A geometry-optimized MgH4Ir structure (PBE-GGA, Alexandria via LeMat-Bulk).

Properties
* crystal system: monoclinic

Structure (POSCAR):
```
MgH4Ir
1.0
4.617 0.000 0.000
0.000 4.371 0.000
-2.351 0.000 5.039
Mg H Ir
2 8 2
Cartesian
0.000 0.000 0.000
-1.176 2.185 2.519
-0.404 0.274 1.922
-1.580 1.911 4.441
1.539 3.235 1.215
0.363 3.322 3.734
1.903 1.049 1.305
0.727 1.136 3.824
3.846 2.460 0.598
2.670 4.096 3.117
1.133 0.000 2.519
2.309 2.185 0.000
```

---

--- x ---
# MgH4Ir

A geometry-optimized MgH4Ir structure (PBE-GGA, Alexandria via LeMat-Bulk).

Properties
* crystal system: monoclinic

Structure (POSCAR):
```
MgH4Ir
1.0
5.072 -1.683 0.000
5.072 1.683 0.000
-1.247 0.000 3.366
Mg H Ir
1 4 1
Cartesian
0.000 0.000 0.000
1.721 0.000 0.689
2.404 0.000 2.843
4.865 0.000 1.842
7.917 0.000 1.093
3.283 0.000 1.255
```

---

--- y ---
# MgH4Ir

A geometry-optimized MgH4Ir structure (PBE-GGA, Alexandria via LeMat-Bulk).

Properties
* crystal system: triclinic

Structure (POSCAR):
```
MgH4Ir
1.0
2.878 0.000 0.000
-0.003 4.689 0.000
-1.396 -2.173 4.148
Mg H Ir
1 4 1
Cartesian
0.000 0.000 0.000
-0.003 1.877 1.029
0.041 -1.122 3.061
1.437 3.638 1.086
1.481 0.639 3.119
1.438 2.344 0.000
```

---

Most stable: x. Least stable: y.

---

--- w ---
# Mg2H7Ir

A geometry-optimized Mg2H7Ir structure (PBE-GGA, Alexandria via LeMat-Bulk).

Properties
* crystal system: trigonal

Structure (POSCAR):
```
Mg2H7Ir
1.0
2.297 1.326 5.493
-2.297 1.326 5.493
0.000 -2.652 5.493
Mg H Ir
2 7 1
Cartesian
0.000 0.000 1.779
0.000 0.000 14.700
0.000 0.000 0.000
-1.134 -0.655 7.202
0.000 -1.309 9.276
-1.134 0.655 9.276
1.134 -0.655 7.202
0.000 1.309 7.202
1.134 0.655 9.276
0.000 0.000 8.239
```

---

--- x ---
# Mg2H7Ir

A geometry-optimized Mg2H7Ir structure (PBE-GGA, Alexandria via LeMat-Bulk).

Properties
* crystal system: cubic

Structure (POSCAR):
```
Mg2H7Ir
1.0
0.000 3.320 3.320
3.320 0.000 3.320
3.320 3.320 0.000
Mg H Ir
2 7 1
Cartesian
1.660 1.660 1.660
4.980 4.980 4.980
0.000 0.000 0.000
3.320 3.320 1.601
3.320 1.601 3.320
5.039 3.320 3.320
1.601 3.320 3.320
3.320 5.039 3.320
3.320 3.320 5.039
3.320 3.320 3.320
```

---

Most stable: w. Least stable: x.

---

--- w ---
# Mg2H3Ir2

A geometry-optimized Mg2H3Ir2 structure (PBE-GGA, Alexandria via LeMat-Bulk).

Properties
* crystal system: monoclinic

Structure (POSCAR):
```
Mg2H3Ir2
1.0
4.004 -2.304 0.000
4.004 2.304 0.000
-2.657 0.000 3.900
Mg H Ir
2 3 2
Cartesian
0.000 0.000 0.000
2.675 0.000 1.950
-1.328 0.000 1.950
0.674 1.152 1.950
0.674 -1.152 1.950
0.004 0.000 3.116
5.347 0.000 0.784
```

---

--- x ---
# Mg2H3Ir2

A geometry-optimized Mg2H3Ir2 structure (PBE-GGA, Alexandria via LeMat-Bulk).

Properties
* crystal system: orthorhombic

Structure (POSCAR):
```
Mg2H3Ir2
1.0
3.199 -3.567 0.000
3.199 3.567 0.000
0.000 0.000 3.106
Mg H Ir
2 3 2
Cartesian
3.199 1.857 0.000
3.199 -1.857 0.000
0.000 0.000 1.548
1.600 1.783 1.552
1.600 -1.783 1.552
1.762 0.000 1.553
4.636 0.000 1.553
```

---

--- y ---
# Mg2H3Ir2

A geometry-optimized Mg2H3Ir2 structure (PBE-GGA, Alexandria via LeMat-Bulk).

Properties
* crystal system: monoclinic

Structure (POSCAR):
```
Mg2H3Ir2
1.0
4.591 0.000 0.000
0.000 3.375 0.000
-0.002 0.000 4.708
Mg H Ir
2 3 2
Cartesian
0.000 0.000 0.000
2.292 0.000 2.356
1.135 1.688 3.517
2.304 0.000 0.007
3.454 1.688 3.518
4.589 1.688 2.188
2.295 1.688 0.172
```

---

--- z ---
# Mg2H3Ir2

A geometry-optimized Mg2H3Ir2 structure (PBE-GGA, Alexandria via LeMat-Bulk).

Properties
* crystal system: monoclinic

Structure (POSCAR):
```
Mg2H3Ir2
1.0
4.511 0.000 0.000
0.000 3.518 0.000
-0.176 0.000 4.523
Mg H Ir
2 3 2
Cartesian
1.075 0.000 1.124
3.261 0.000 3.399
0.000 1.759 0.000
1.063 0.000 3.332
3.273 0.000 1.191
1.078 1.759 3.311
3.258 1.759 1.212
```

---

Most stable: x. Least stable: y.

---

--- w ---
# MgH5Ir2

A geometry-optimized MgH5Ir2 structure (PBE-GGA, Alexandria via LeMat-Bulk).

Properties
* crystal system: monoclinic

Structure (POSCAR):
```
MgH5Ir2
1.0
3.038 -3.739 0.000
3.038 3.739 0.000
-2.922 0.000 3.039
Mg H Ir
1 5 2
Cartesian
0.000 0.000 0.000
-0.876 1.236 2.993
0.031 -1.224 2.037
1.577 0.000 1.519
4.030 1.236 0.046
3.123 -1.224 1.002
1.577 1.814 1.519
1.577 -1.817 1.519
```

---

--- x ---
# MgH5Ir2

A geometry-optimized MgH5Ir2 structure (PBE-GGA, Alexandria via LeMat-Bulk).

Properties
* crystal system: orthorhombic

Structure (POSCAR):
```
MgH5Ir2
1.0
-2.161 3.918 2.015
2.161 -3.918 2.015
2.161 3.918 -2.015
Mg H Ir
1 5 2
Cartesian
0.000 0.000 0.000
0.952 2.826 -0.500
1.209 -1.092 1.515
0.952 5.010 -0.500
1.209 1.092 1.515
0.000 3.918 1.779
2.161 1.783 0.260
0.000 2.135 2.275
```

---

Most stable: x. Least stable: w.

---

--- w ---
# MgH5Ir

A geometry-optimized MgH5Ir structure (PBE-GGA, Alexandria via LeMat-Bulk).

Properties
* crystal system: triclinic

Structure (POSCAR):
```
MgH5Ir
1.0
3.049 0.000 0.000
0.001 4.579 0.000
1.513 2.238 4.284
Mg H Ir
1 5 1
Cartesian
0.000 0.000 0.000
1.509 4.522 2.956
1.523 1.216 0.812
1.524 3.378 0.796
3.032 3.335 2.638
3.032 5.695 2.615
3.034 4.525 3.784
```

---

--- x ---
# MgH5Ir

A geometry-optimized MgH5Ir structure (PBE-GGA, Alexandria via LeMat-Bulk).

Properties
* crystal system: monoclinic

Structure (POSCAR):
```
MgH5Ir
1.0
3.014 -2.379 0.000
3.014 2.379 0.000
-2.676 0.000 4.093
Mg H Ir
1 5 1
Cartesian
0.000 0.000 0.000
1.773 0.837 0.379
0.460 -0.334 2.137
1.578 0.837 3.714
2.892 -0.334 1.956
1.676 -2.224 2.046
1.676 0.905 2.046
```

---

Most stable: w. Least stable: x.

---

--- w ---
# Mg4H3Ir

A geometry-optimized Mg4H3Ir structure (PBE-GGA, Alexandria via LeMat-Bulk).

Properties
* crystal system: triclinic

Structure (POSCAR):
```
Mg4H3Ir
1.0
3.232 0.000 0.000
-1.616 5.400 0.000
-0.023 -1.663 6.203
Mg H Ir
4 3 1
Cartesian
-0.005 0.942 2.037
-0.024 0.243 5.084
1.617 3.494 1.119
1.598 2.795 4.166
-0.012 -0.831 3.101
-0.003 4.941 1.612
1.596 -1.204 4.591
1.616 0.000 0.000
```

---

--- x ---
# Mg4H3Ir

A geometry-optimized Mg4H3Ir structure (PBE-GGA, Alexandria via LeMat-Bulk).

Properties
* crystal system: monoclinic

Structure (POSCAR):
```
Mg4H3Ir
1.0
4.316 -2.826 0.000
4.316 2.826 0.000
-2.991 0.000 4.442
Mg H Ir
4 3 1
Cartesian
2.582 1.061 0.168
0.150 0.000 1.811
3.060 1.061 4.273
5.491 0.000 2.631
4.316 2.013 0.000
1.617 -0.684 3.401
4.025 -0.684 1.041
2.821 -0.714 2.221
```

---

Most stable: x. Least stable: w.

---

--- w ---
# Mg4H3Ir

A geometry-optimized Mg4H3Ir structure (PBE-GGA, Alexandria via LeMat-Bulk).

Properties
* crystal system: monoclinic

Structure (POSCAR):
```
Mg4H3Ir
1.0
4.093 -2.917 0.000
4.093 2.917 0.000
-2.837 0.000 4.591
Mg H Ir
4 3 1
Cartesian
0.033 0.000 1.682
2.460 -0.938 0.002
2.889 -0.938 4.588
5.316 0.000 2.909
1.306 0.692 3.317
4.043 0.692 1.273
2.674 -1.047 2.295
2.674 0.659 2.295
```

---

--- x ---
# Mg4H3Ir

A geometry-optimized Mg4H3Ir structure (PBE-GGA, Alexandria via LeMat-Bulk).

Properties
* crystal system: triclinic

Structure (POSCAR):
```
Mg4H3Ir
1.0
3.086 0.000 0.000
-1.507 5.996 0.000
-1.534 -1.250 6.013
Mg H Ir
4 3 1
Cartesian
0.000 0.000 0.000
-1.507 3.259 3.612
0.002 0.183 3.425
1.574 2.926 0.218
0.033 2.828 1.937
1.544 0.202 1.644
1.546 1.402 3.632
0.036 4.529 1.790
```

---

Most stable: w. Least stable: x.

---

--- w ---
# MgH6Ir2

A geometry-optimized MgH6Ir2 structure (PBE-GGA, Alexandria via LeMat-Bulk).

Properties
* crystal system: orthorhombic

Structure (POSCAR):
```
MgH6Ir2
1.0
0.000 3.495 3.555
2.999 0.000 3.555
2.999 3.495 0.000
Mg H Ir
1 6 2
Cartesian
0.000 0.000 0.000
4.191 3.495 1.907
1.807 3.495 1.907
1.499 1.748 3.521
2.999 2.479 4.882
2.999 4.512 4.882
4.498 5.243 7.076
1.499 1.748 1.746
4.498 5.243 5.301
```

---

--- x ---
# MgH6Ir2

A geometry-optimized MgH6Ir2 structure (PBE-GGA, Alexandria via LeMat-Bulk).

Properties
* crystal system: monoclinic

Structure (POSCAR):
```
MgH6Ir2
1.0
2.849 -2.962 0.000
2.849 2.962 0.000
-2.677 0.000 4.605
Mg H Ir
1 6 2
Cartesian
0.000 0.000 0.000
1.664 1.411 1.214
0.245 0.000 3.206
1.665 1.499 3.378
1.664 -1.411 1.214
3.105 0.000 1.381
1.665 -1.499 3.378
0.244 1.481 2.295
0.244 -1.481 2.295
```

---

Most stable: w. Least stable: x.

---

--- w ---
# Mg3H2Ir5

A geometry-optimized Mg3H2Ir5 structure (PBE-GGA, Alexandria via LeMat-Bulk).

Properties
* crystal system: monoclinic

Structure (POSCAR):
```
Mg3H2Ir5
1.0
4.493 -2.865 0.000
4.493 2.865 0.000
-0.059 0.000 4.954
Mg H Ir
3 2 5
Cartesian
0.000 0.000 0.000
4.456 1.296 2.488
4.456 -1.296 2.488
1.553 0.000 3.202
8.318 0.000 1.802
2.228 0.000 1.543
4.384 0.000 4.909
6.659 1.381 4.180
6.658 0.000 1.531
6.659 -1.381 4.180
```

---

--- x ---
# Mg3H2Ir5

A geometry-optimized Mg3H2Ir5 structure (PBE-GGA, Alexandria via LeMat-Bulk).

Properties
* crystal system: monoclinic

Structure (POSCAR):
```
Mg3H2Ir5
1.0
4.516 -2.903 0.000
4.516 2.903 0.000
-0.124 0.000 4.888
Mg H Ir
3 2 5
Cartesian
0.000 0.000 0.000
4.560 1.408 2.373
4.560 -1.408 2.373
1.929 0.000 0.012
3.186 0.000 3.396
2.294 0.000 1.706
4.486 0.000 4.850
6.729 1.326 4.067
6.804 0.000 1.649
6.729 -1.326 4.067
```

---

Most stable: w. Least stable: x.